1.
DFT (PBE) results for a geometry-optimized CePm2SiO8 structure.

Results
V	147.7	Å³/cell
total energy	-7.53	eV per atom

abc: 5.2771 5.2771 6.1257
angles: 90.00 90.00 120.00
Fractional coordinates of all 12 atoms:
Ce 0.0000 0.0000 0.0000
Pm 0.3333 0.6667 0.3717
Pm 0.6667 0.3333 0.6283
Si 0.0000 0.0000 0.5000
O 0.1559 0.3118 0.6734
O 0.1559 0.8441 0.6734
O 0.3118 0.1559 0.3266
O 0.3333 0.6667 0.0230
O 0.6667 0.3333 0.9770
O 0.6882 0.8441 0.6734
O 0.8441 0.1559 0.3266
O 0.8441 0.6882 0.3266

2.
DFT (PBE) results for a geometry-optimized CePmSi2O8 structure.

Results
V	143.3	Å³/cell
total energy	-7.99	eV per atom

abc: 6.7196 6.7196 6.7196
angles: 136.23 136.23 63.63
Fractional coordinates of all 12 atoms:
Ce 0.0000 0.0000 0.0000
Pm 0.7500 0.2500 0.5000
Si 0.2500 0.7500 0.5000
Si 0.5000 0.5000 0.0000
O 0.0436 0.9204 0.6192
O 0.0796 0.6988 0.1232
O 0.1766 0.2888 0.6130
O 0.3012 0.4244 0.3808
O 0.4364 0.8234 0.1121
O 0.5756 0.9564 0.8768
O 0.6758 0.5636 0.3870
O 0.7112 0.3242 0.8879

3.
DFT (PBE) results for a geometry-optimized Ce4Pm2Sn3O2 structure.

Results
V	292.1	Å³/cell
total energy	-6.43	eV per atom

abc: 13.4395 13.4395 13.4395
angles: 159.70 159.70 28.87
Fractional coordinates of all 11 atoms:
Ce 0.0842 0.5842 0.5000
Ce 0.4158 0.9158 0.5000
Ce 0.5842 0.0842 0.5000
Ce 0.9158 0.4158 0.5000
Pm 0.1971 0.1971 0.0000
Pm 0.8029 0.8029 0.0000
Sn 0.3227 0.3227 0.0000
Sn 0.5000 0.5000 0.0000
Sn 0.6773 0.6773 0.0000
O 0.1003 0.1003 0.0000
O 0.8997 0.8997 0.0000

4.
DFT (PBE) results for a geometry-optimized Ce2Pm4Sn3O2 structure.

Results
V	298.1	Å³/cell
total energy	-6.24	eV per atom

abc: 13.3170 13.3170 13.3170
angles: 159.18 159.18 29.60
Fractional coordinates of all 11 atoms:
Ce 0.1937 0.1937 0.0000
Ce 0.8063 0.8063 0.0000
Pm 0.0817 0.5817 0.5000
Pm 0.4183 0.9183 0.5000
Pm 0.5817 0.0817 0.5000
Pm 0.9183 0.4183 0.5000
Sn 0.3238 0.3238 0.0000
Sn 0.5000 0.5000 0.0000
Sn 0.6762 0.6762 0.0000
O 0.1026 0.1026 0.0000
O 0.8974 0.8974 0.0000

5.
DFT (PBE) results for a geometry-optimized Sr2CePmO6 structure.

Results
V	330.8	Å³/cell
total energy	-7.31	eV per atom

abc: 6.0714 6.2540 10.6186
angles: 90.00 124.86 90.00
Fractional coordinates of all 20 atoms:
Sr 0.2342 0.0491 0.2508
Sr 0.2342 0.4509 0.7508
Sr 0.7658 0.5491 0.2492
Sr 0.7658 0.9509 0.7492
Ce 0.0000 0.0000 0.5000
Ce 0.0000 0.5000 0.0000
Pm 0.5000 0.0000 0.0000
Pm 0.5000 0.5000 0.5000
O 0.1322 0.2097 0.9361
O 0.1322 0.2903 0.4361
O 0.2318 0.6975 0.9399
O 0.2318 0.8025 0.4399
O 0.3584 0.0511 0.7441
O 0.3584 0.4489 0.2441
O 0.6416 0.5511 0.7559
O 0.6416 0.9489 0.2559
O 0.7682 0.1975 0.5601
O 0.7682 0.3025 0.0601
O 0.8678 0.7097 0.5639
O 0.8678 0.7903 0.0639

6.
DFT (PBE) results for a geometry-optimized CePmTcO6 structure.

Results
V	259.0	Å³/cell
total energy	-8.16	eV per atom

abc: 5.6046 5.6046 9.5190
angles: 90.00 90.00 120.00
Fractional coordinates of all 18 atoms:
Ce 0.0000 0.0000 0.0000
Ce 0.0000 0.0000 0.5000
Pm 0.3333 0.6667 0.2500
Pm 0.6667 0.3333 0.7500
Tc 0.3333 0.6667 0.7500
Tc 0.6667 0.3333 0.2500
O 0.0509 0.3673 0.6328
O 0.0509 0.6836 0.8672
O 0.3164 0.3673 0.8672
O 0.3164 0.9491 0.6328
O 0.3673 0.0509 0.1328
O 0.3673 0.3164 0.3672
O 0.6327 0.6836 0.6328
O 0.6327 0.9491 0.8672
O 0.6836 0.0509 0.3672
O 0.6836 0.6327 0.1328
O 0.9491 0.3164 0.1328
O 0.9491 0.6327 0.3672

7.
DFT (PBE) results for a geometry-optimized CePmTeO2 structure.

Results
V	105.2	Å³/cell
total energy	-7.61	eV per atom

abc: 7.0416 7.0416 7.0416
angles: 146.63 146.63 47.91
Fractional coordinates of all 5 atoms:
Ce 0.0000 0.0000 0.0000
Pm 0.3169 0.3169 0.0000
Te 0.6595 0.6595 0.0000
O 0.4083 0.9083 0.5000
O 0.9083 0.4083 0.5000

8.
DFT (PBE) results for a geometry-optimized CePmTeO6 structure.

Results
V	277.1	Å³/cell
total energy	-7.21	eV per atom

abc: 5.7457 5.7457 9.6923
angles: 90.00 90.00 120.00
Fractional coordinates of all 18 atoms:
Ce 0.3333 0.6667 0.2500
Ce 0.6667 0.3333 0.7500
Pm 0.0000 0.0000 0.0000
Pm 0.0000 0.0000 0.5000
Te 0.3333 0.6667 0.7500
Te 0.6667 0.3333 0.2500
O 0.0317 0.3659 0.6365
O 0.0317 0.6658 0.8635
O 0.3342 0.3659 0.8635
O 0.3342 0.9683 0.6365
O 0.3659 0.0317 0.1365
O 0.3659 0.3342 0.3635
O 0.6341 0.6658 0.6365
O 0.6341 0.9683 0.8635
O 0.6658 0.0317 0.3635
O 0.6658 0.6341 0.1365
O 0.9683 0.3342 0.1365
O 0.9683 0.6341 0.3635

9.
DFT (PBE) results for a geometry-optimized Ce2PmTeO4 structure.

Results
V	147.1	Å³/cell
total energy	-8.08	eV per atom

abc: 3.9920 3.9920 9.2309
angles: 90.00 90.00 90.00
Fractional coordinates of all 8 atoms:
Ce 0.0000 0.0000 0.2285
Ce 0.0000 0.0000 0.7715
Pm 0.5000 0.5000 0.5000
Te 0.5000 0.5000 0.0000
O 0.0000 0.5000 0.3440
O 0.0000 0.5000 0.6560
O 0.5000 0.0000 0.3440
O 0.5000 0.0000 0.6560

10.
DFT (PBE) results for a geometry-optimized CePmTe2O structure.

Results
V	285.8	Å³/cell
total energy	-6.46	eV per atom

abc: 4.2376 4.2376 15.9140
angles: 90.00 90.00 90.00
Fractional coordinates of all 10 atoms:
Ce 0.2500 0.2500 0.0703
Ce 0.7500 0.7500 0.9297
Pm 0.2500 0.2500 0.6308
Pm 0.7500 0.7500 0.3692
Te 0.2500 0.2500 0.4149
Te 0.2500 0.2500 0.8203
Te 0.7500 0.7500 0.1797
Te 0.7500 0.7500 0.5851
O 0.2500 0.7500 0.0000
O 0.7500 0.2500 0.0000

Copy entry 10 word for word.
DFT (PBE) results for a geometry-optimized CePmTe2O structure.

Results
V	285.8	Å³/cell
total energy	-6.46	eV per atom

abc: 4.2376 4.2376 15.9140
angles: 90.00 90.00 90.00
Fractional coordinates of all 10 atoms:
Ce 0.2500 0.2500 0.0703
Ce 0.7500 0.7500 0.9297
Pm 0.2500 0.2500 0.6308
Pm 0.7500 0.7500 0.3692
Te 0.2500 0.2500 0.4149
Te 0.2500 0.2500 0.8203
Te 0.7500 0.7500 0.1797
Te 0.7500 0.7500 0.5851
O 0.2500 0.7500 0.0000
O 0.7500 0.2500 0.0000

- The lowest total energy belongs to which entry?
  CePmTcO6

- Among the records above, which one has the lowest total energy?
  CePmTcO6